Record 1
Below is a relaxed Pm6PbS4 crystal, with properties calculated at the PBE level.

Results
ΔE_f (raw): -1.604 eV per atom
Magnetic moment: 0.030 μB/atom
N(E_F): 7.6 states/eV/f.u.

```
data_Pm6PbS4
_symmetry_space_group_name_H-M 'P 1'
_symmetry_Int_Tables_number 1
_symmetry_space_group_name_Hall 'P 1'
_cell_length_a 4.107
_cell_length_b 7.038
_cell_length_c 20.718
_cell_angle_alpha 90.00
_cell_angle_beta 90.00
_cell_angle_gamma 106.96
loop_
_atom_site_label
_atom_site_fract_x
_atom_site_fract_y
_atom_site_fract_z
Pm1 0.229 0.457 0.917
Pm2 0.500 0.000 0.500
Pm3 0.771 0.543 0.083
Pm4 0.037 0.075 0.156
Pm5 0.963 0.925 0.656
Pm6 0.342 0.685 0.250
Pm7 0.963 0.925 0.844
Pm8 0.500 0.000 0.000
Pm9 0.771 0.543 0.417
Pm10 0.658 0.315 0.750
Pm11 0.037 0.075 0.344
Pm12 0.229 0.457 0.583
Pb1 0.340 0.679 0.750
Pb2 0.660 0.321 0.250
S1 0.137 0.275 0.039
S2 0.596 0.192 0.622
S3 0.404 0.808 0.378
S4 0.596 0.192 0.878
S5 0.863 0.725 0.961
S6 0.404 0.808 0.122
S7 0.137 0.275 0.461
S8 0.863 0.725 0.539
```



Record 2
Below is a relaxed Ca2Tl3HgF9 crystal, with properties calculated at the PBE level.

Results
ΔE_f (raw): -2.551 eV per atom
Magnetic moment: 0.000 μB/atom
N(E_F): 0.0 states/eV/f.u.

```
data_Ca2Tl3HgF9
_symmetry_space_group_name_H-M 'P 1'
_symmetry_Int_Tables_number 1
_symmetry_space_group_name_Hall 'P 1'
_cell_length_a 6.429
_cell_length_b 6.429
_cell_length_c 7.874
_cell_angle_alpha 90.00
_cell_angle_beta 90.00
_cell_angle_gamma 120.00
loop_
_atom_site_label
_atom_site_fract_x
_atom_site_fract_y
_atom_site_fract_z
Tl1 0.000 0.000 0.000
Tl2 0.333 0.667 0.644
Tl3 0.667 0.333 0.356
F1 0.500 0.000 0.000
F2 0.828 0.656 0.666
F3 0.828 0.172 0.666
F4 0.500 0.500 0.000
F5 0.344 0.172 0.666
F6 0.656 0.828 0.334
F7 0.172 0.828 0.334
F8 0.000 0.500 0.000
F9 0.172 0.344 0.334
Hg1 0.000 0.000 0.500
Ca1 0.667 0.333 0.842
Ca2 0.333 0.667 0.158
```



Record 3
Below is a relaxed Be2Co2As crystal, with properties calculated at the PBE level.

Results
Magnetic moment: 0.232 μB/atom
N(E_F): 1.4 states/eV/f.u.
DFT total energy: -5.294 eV/atom

```
data_Be2Co2As
_symmetry_space_group_name_H-M 'P 1'
_symmetry_Int_Tables_number 1
_symmetry_space_group_name_Hall 'P 1'
_cell_length_a 5.942
_cell_length_b 5.942
_cell_length_c 2.911
_cell_angle_alpha 90.00
_cell_angle_beta 90.00
_cell_angle_gamma 90.00
loop_
_atom_site_label
_atom_site_fract_x
_atom_site_fract_y
_atom_site_fract_z
As1 0.500 0.500 0.000
As2 0.000 0.000 0.000
Co1 0.664 0.836 0.500
Co2 0.836 0.336 0.500
Co3 0.336 0.164 0.500
Co4 0.164 0.664 0.500
Be1 0.124 0.376 0.000
Be2 0.876 0.624 0.000
Be3 0.624 0.124 0.000
Be4 0.376 0.876 0.000
```



Which of these has the highest N(E_F)? Pm6PbS4